[1]
4
Lattice="2.6924 0.0000 0.0000 0.0000 5.2192 0.0000 0.0000 0.0000 6.3369" Properties=species:S:1:pos:R:3 comment="KReAu2 (GGA-PBE, relaxed)" ef_ev_per_atom=0.999 pbc="T T T"
K 0.0000 0.0000 0.0000
Re 1.3462 0.0000 3.1684
Au 0.0000 2.6096 3.1684
Au 1.3462 2.6096 0.0000



[2]
18
Lattice="4.4555 2.5724 4.3017 -4.4555 2.5724 4.3017 0.0000 -5.1448 4.3017" Properties=species:S:1:pos:R:3 comment="Sm2ScP3Rh12 (GGA-PBE, relaxed)" ef_ev_per_atom=-0.376 pbc="T T T"
Sm 0.0000 0.0000 1.6342
Sm 0.0000 0.0000 11.2709
Sc 0.0000 0.0000 6.4526
P -2.2278 -1.2862 4.3017
P -2.2278 1.2862 8.6034
P 0.0000 2.5724 4.3017
Rh 0.0000 -2.3465 3.6867
Rh -2.0322 1.1733 3.6867
Rh -2.2506 -1.2994 6.5394
Rh 0.0000 -2.5987 6.3657
Rh -2.2506 1.2994 6.3657
Rh -2.0322 -1.1733 9.2185
Rh 2.0322 1.1733 3.6867
Rh 2.2506 -1.2994 6.5394
Rh 0.0000 2.5987 6.5394
Rh 2.2506 1.2994 6.3657
Rh 2.0322 -1.1733 9.2185
Rh 0.0000 2.3465 9.2185



| no. | total magnetic moment (Bohr magnetons per cell) | DOS(E_F) (states/eV/atom) |
| --- | --- | --- |
| 1 | 1.9 | 0.8220 |
| 2 | 0.0 | 0.9545 |